No. 1
Below is a geometry-optimized HgGe3H structure, with properties calculated at the GGA-PBE level.

The structure in extended XYZ format:
```
5
Lattice="4.4438 0.0000 0.0000 0.0000 4.4438 0.0000 0.0000 0.0000 4.4438" Properties=species:S:1:pos:R:3 pbc="T T T"
Hg 0.0000 0.0000 0.0000
Ge 0.0000 2.2219 2.2219
Ge 2.2219 0.0000 2.2219
Ge 2.2219 2.2219 0.0000
H 2.2219 2.2219 2.2219
```

Results
DFT total energy, hartree per atom: -0.1111
M_tot, μB/f.u.: 0.0
V, Å³ per cell: 87.8
Symmetry: No. 221

---

No. 2
Below is a geometry-optimized RbAl3Tl2F12 structure, with properties calculated at the GGA-PBE level.

The structure in extended XYZ format:
```
18
Lattice="3.5875 2.0713 6.2625 -3.5875 2.0713 6.2625 0.0000 -4.1425 6.2625" Properties=species:S:1:pos:R:3 pbc="T T T"
Rb 0.0000 0.0000 0.0000
Al -3.5875 0.0000 9.3937
Al -1.7938 1.0356 3.1312
Al 1.7938 1.0356 3.1312
Tl 0.0000 0.0000 6.8291
Tl 0.0000 0.0000 11.9583
F -2.2633 -1.3067 9.6308
F 0.0000 -1.7815 4.8871
F -1.5429 0.8908 4.8871
F 0.0000 -2.6134 9.1566
F -2.2633 1.3067 9.1566
F -1.5429 -0.8908 13.9003
F 1.5429 0.8908 4.8871
F 2.2633 -1.3067 9.6308
F 0.0000 2.6134 9.6308
F 1.5429 -0.8908 13.9003
F 0.0000 1.7815 13.9003
F 2.2633 1.3067 9.1566
```

Results
DFT total energy, hartree per atom: -0.1949
M_tot, μB/f.u.: 0.0
V, Å³ per cell: 279.2
Symmetry: No. 166